AlTcOs2 | the Alexandria database | PBE-GGA | relaxed; total moment = 0.00 μB/f.u.; energy of formation from the pure elements = -4.1 kJ/mol of atoms; space-group type = No. 6; E_tot = -9.18 eV per atom
1.0
-1.403 -2.968 2.177
2.616 -0.811 0.581
2.660 2.265 4.803
Tc Os Al
1 2 1
direct
0.000 0.506 0.495 Tc
0.000 0.024 0.976 Os
0.500 0.232 0.267 Os
0.500 0.738 0.762 Al

***

Zn2CdPt | the Alexandria database | PBE-GGA | relaxed; total moment = 0.00 μB/f.u.; energy of formation from the pure elements = -18.2 kJ/mol of atoms; space-group type = No. 10; E_tot = -2.56 eV per atom
1.0
-4.027 0.088 1.992
-0.802 -2.312 -1.518
1.603 -3.581 3.399
Cd Pt Zn
1 1 2
direct
0.500 0.250 0.250 Cd
0.500 0.750 0.750 Pt
0.000 0.924 0.982 Zn
0.000 0.576 0.518 Zn

***

KInTe | the Alexandria database | PBE-GGA | relaxed; formation energy from raw total energies = -0.535 eV/atom; total moment = 0.00 μB/f.u.; space-group type = No. 107; E_tot = -2.86 eV per atom
1.0
-1.735 2.799 -5.975
-5.055 0.770 -4.517
-1.866 3.625 0.796
K In Te
1 1 1
direct
0.328 0.328 0.672 K
0.030 0.030 0.970 In
0.642 0.642 0.358 Te